First-principles (PBE) data for crystalline K2USnTe5 at its relaxed geometry, as listed in Alexandria via LeMat-Bulk.

a = 10.6602 Å, b = 10.6602 Å, c = 14.6587 Å
α = 90.00°, β = 90.00°, γ = 155.31°
Last column: nearest neighbours and their distance in Å.
Fractional coordinates of all 18 atoms:
K  0.1221  0.8779  0.5000  5 Te 3.55-3.69
K  0.1252  0.8748  0.1437  7 Te 3.54-3.93
K  0.8748  0.1252  0.6437  7 Te 3.54-3.93
K  0.8779  0.1221  0.0000  5 Te 3.55-3.69
U  0.2040  0.7960  0.8470  5 Te 2.87-3.13
U  0.7960  0.2040  0.3470  5 Te 2.87-3.13
Sn  0.4453  0.5547  0.2441  4 Te 2.77-2.96
Sn  0.5547  0.4453  0.7441  4 Te 2.77-2.96
Te  0.0504  0.9496  0.8725  2 Sn 2.96, 1 U 3.22
Te  0.2989  0.7011  0.4812  2 U 3.01
Te  0.3094  0.6906  0.2017  1 Sn 2.90, 2 U 3.13
Te  0.3405  0.6595  0.8219  1 U 2.87
Te  0.4972  0.5028  0.5737  1 Sn 2.77
Te  0.5028  0.4972  0.0737  1 Sn 2.77
Te  0.6595  0.3405  0.3219  1 U 2.87
Te  0.6906  0.3094  0.7017  1 Sn 2.90, 2 U 3.13
Te  0.7011  0.2989  0.9812  2 U 3.01
Te  0.9496  0.0504  0.3725  2 Sn 2.96, 1 U 3.22

Output
mass density = 5.1 g/cm³
E_form (uncorrected) = -639 meV per atom

First-principles (PBE) data for crystalline K3U2SnTe6 at its relaxed geometry, as listed in Alexandria via LeMat-Bulk.

a = 7.9563 Å, b = 7.9563 Å, c = 8.5765 Å
α = 98.89°, β = 98.89°, γ = 120.00°
Last column: nearest neighbours and their distance in Å.
Fractional coordinates of all 12 atoms:
K  0.0000  0.0000  0.0000  6 Te 3.51-3.59
K  0.3376  0.6624  0.0000  6 Te 3.54-3.59
K  0.6624  0.3376  0.0000  6 Te 3.54-3.59
U  0.1672  0.8328  0.5000  6 Te 3.12
U  0.8328  0.1672  0.5000  6 Te 3.12
Sn  0.5000  0.5000  0.5000  6 Te 3.21-3.22
Te  0.0869  0.4300  0.2907  2 U 3.12, 1 Sn 3.22
Te  0.2260  0.2260  0.7079  2 U 3.12, 1 Sn 3.21
Te  0.4300  0.0869  0.2907  2 U 3.12, 1 Sn 3.22
Te  0.5700  0.9131  0.7093  2 U 3.12, 1 Sn 3.22
Te  0.7740  0.7740  0.2921  2 U 3.12, 1 Sn 3.21
Te  0.9131  0.5700  0.7093  2 U 3.12, 1 Sn 3.22

Output
mass density = 5.5 g/cm³
E_form (uncorrected) = -816 meV per atom

First-principles (PBE) data for crystalline K3U3SnTe8 at its relaxed geometry, as listed in Alexandria via LeMat-Bulk.

a = 9.7392 Å, b = 9.7392 Å, c = 9.7392 Å
α = 55.43°, β = 55.43°, γ = 55.43°
Last column: nearest neighbours and their distance in Å.
Fractional coordinates of all 15 atoms:
K  0.0000  0.5000  0.5000  6 Te 3.54-3.59
K  0.5000  0.0000  0.5000  6 Te 3.54-3.59
K  0.5000  0.5000  0.0000  6 Te 3.54-3.59
U  0.0000  0.0000  0.5000  6 Te 3.08-3.13
U  0.0000  0.5000  0.0000  6 Te 3.08-3.13
U  0.5000  0.0000  0.0000  6 Te 3.08-3.13
Sn  0.5000  0.5000  0.5000  6 Te 3.21
Te  0.2225  0.7422  0.7422  2 U 3.08, 1 Sn 3.21
Te  0.2368  0.2368  0.2368  3 U 3.13
Te  0.2578  0.2578  0.7775  2 U 3.08, 1 Sn 3.21
Te  0.2578  0.7775  0.2578  2 U 3.08, 1 Sn 3.21
Te  0.7422  0.2225  0.7422  2 U 3.08, 1 Sn 3.21
Te  0.7422  0.7422  0.2225  2 U 3.08, 1 Sn 3.21
Te  0.7632  0.7632  0.7632  3 U 3.13
Te  0.7775  0.2578  0.2578  2 U 3.08, 1 Sn 3.21

Output
mass density = 5.6 g/cm³
E_form (uncorrected) = -777 meV per atom

First-principles (PBE) data for crystalline K3USn2Te6 at its relaxed geometry, as listed in Alexandria via LeMat-Bulk.

a = 8.0171 Å, b = 8.0171 Å, c = 8.4799 Å
α = 99.08°, β = 99.08°, γ = 120.00°
Last column: nearest neighbours and their distance in Å.
Fractional coordinates of all 12 atoms:
K  0.0000  0.0000  0.0000  6 Te 3.53-3.68
K  0.3267  0.6733  0.0000  6 Te 3.53-3.62
K  0.6733  0.3267  0.0000  6 Te 3.53-3.62
U  0.5000  0.5000  0.5000  6 Te 3.02
Sn  0.1655  0.8345  0.5000  6 Te 3.20-3.21
Sn  0.8345  0.1655  0.5000  6 Te 3.20-3.21
Te  0.1164  0.4320  0.2954  1 U 3.02, 2 Sn 3.20-3.21
Te  0.2542  0.2542  0.7060  1 U 3.02, 2 Sn 3.20
Te  0.4320  0.1164  0.2954  1 U 3.02, 2 Sn 3.20-3.21
Te  0.5680  0.8836  0.7046  1 U 3.02, 2 Sn 3.20-3.21
Te  0.7458  0.7458  0.2940  1 U 3.02, 2 Sn 3.20
Te  0.8836  0.5680  0.7046  1 U 3.02, 2 Sn 3.20-3.21

Output
mass density = 5.0 g/cm³
E_form (uncorrected) = -742 meV per atom

Number 1: total magnetization 3.357 μB per cell, calculated total energy -4.33 eV/atom. Number 2: total magnetization 5.000 μB per cell, calculated total energy -4.88 eV/atom. Number 3: total magnetization 7.000 μB per cell, calculated total energy -5.20 eV/atom. Number 4: total magnetization 0.999 μB per cell, calculated total energy -4.20 eV/atom.